## TiGaNi2W (PBE)

Data for a relaxed TiGaNi2W crystal.

Raw total energy: -29.1 eV for the cell shown
Formation energy from the elements: 1.260 eV/atom

Cell lengths 4.1796, 4.1796, 4.6419 Å; angles 90.00, 90.00, 90.00 degrees
Positions (direct):
Ti: 0.0000 0.0000 0.0000
Ga: 0.0000 0.0000 0.5000
Ni: 0.0000 0.5000 0.0000
Ni: 0.5000 0.0000 0.0000
W: 0.5000 0.5000 0.5000